VASP calculation (PBE with a Hubbard U) on a geometry-optimized Rh2W2F structure.

Lattice parameters (Å, degrees): 6.8542 6.8542 6.8542 147.22 147.22 47.04
Sites, in units of the cell vectors:
Rh1 0.2500 0.7500 0.5000
Rh2 0.7500 0.2500 0.5000
W1 0.1122 0.1122 0.0000
W2 0.8878 0.8878 0.0000
F1 0.5000 0.5000 0.0000

Calculated values
D(E_F): 0.595 states/eV per atom
calculated volume: 18.81 Å³/atom
total moment: 4.6 μB per cell
electronic total energy: -5.4199 eV/atom
symmetry: No. 139